No. 1
Below is La2ZnP after structural relaxation, with properties calculated at the GGA-PBE level.

Cell: 7.246 7.246 7.246 Å, 90.00 90.00 90.00°
Element x y z (fractional)
La1 0.000 0.000 0.000
La2 0.000 0.500 0.500
La3 0.250 0.250 0.250
La4 0.250 0.750 0.750
La5 0.500 0.000 0.500
La6 0.500 0.500 0.000
La7 0.750 0.250 0.750
La8 0.750 0.750 0.250
Zn1 0.250 0.250 0.750
Zn2 0.250 0.750 0.250
Zn3 0.750 0.250 0.250
Zn4 0.750 0.750 0.750
P1 0.000 0.000 0.500
P2 0.000 0.500 0.000
P3 0.500 0.000 0.000
P4 0.500 0.500 0.500

Its formation enthalpy at 0 K is -0.059 eV/atom. The polymorph energy (0 for the lowest one) is 3.38 eV per formula unit. Its final energy is -67.1 eV/cell.

***

No. 2
Below is LaZnP2 after structural relaxation, with properties calculated at the GGA-PBE level.

Cell: 7.685 4.600 5.828 Å, 90.00 126.00 90.00°
Element x y z (fractional)
La1 0.000 0.000 0.000
La2 0.500 0.500 0.000
Zn1 0.000 0.500 0.500
Zn2 0.500 0.000 0.500
P1 0.183 0.000 0.665
P2 0.317 0.500 0.335
P3 0.683 0.500 0.665
P4 0.817 0.000 0.335

Its formation enthalpy at 0 K is -0.628 eV/atom. Its final energy is -39.1 eV/cell.

***

No. 3
Below is LaZnP2 after structural relaxation, with properties calculated at the GGA-PBE level.

Cell: 3.928 4.232 9.902 Å, 90.00 90.00 90.00°
Element x y z (fractional)
La1 0.000 0.000 0.000
La2 0.500 0.500 0.500
Zn1 0.000 0.500 0.234
Zn2 0.500 0.000 0.734
P1 0.000 0.000 0.516
P2 0.000 0.500 0.765
P3 0.500 0.000 0.265
P4 0.500 0.500 0.016

Its formation enthalpy at 0 K is -0.413 eV/atom. Its final energy is -37.3 eV/cell.

***

No. 4
Below is LaZnP2 after structural relaxation, with properties calculated at the GGA-PBE level.

Cell: 6.884 6.884 6.884 Å, 90.00 90.00 90.00°
Element x y z (fractional)
La1 0.000 0.000 0.000
La2 0.000 0.500 0.500
La3 0.500 0.000 0.500
La4 0.500 0.500 0.000
Zn1 0.250 0.250 0.250
Zn2 0.250 0.750 0.750
Zn3 0.750 0.250 0.750
Zn4 0.750 0.750 0.250
P1 0.000 0.000 0.500
P2 0.000 0.500 0.000
P3 0.250 0.250 0.750
P4 0.250 0.750 0.250
P5 0.500 0.000 0.000
P6 0.500 0.500 0.500
P7 0.750 0.250 0.250
P8 0.750 0.750 0.750

Its formation enthalpy at 0 K is -0.167 eV/atom. Its final energy is -70.8 eV/cell.

***

No. 5
Below is LaZnP after structural relaxation, with properties calculated at the GGA-PBE level.

Cell: 7.379 7.379 4.136 Å, 90.00 90.00 120.00°
Element x y z (fractional)
La1 0.000 0.604 0.000
La2 0.396 0.396 0.000
La3 0.604 0.000 0.000
Zn1 0.000 0.230 0.500
Zn2 0.230 0.000 0.500
Zn3 0.770 0.770 0.500
P1 0.000 0.000 0.000
P2 0.333 0.667 0.500
P3 0.667 0.333 0.500

Its formation enthalpy at 0 K is -0.739 eV/atom. Its final energy is -41.5 eV/cell.

***

No. 6
Below is La2ZnP after structural relaxation, with properties calculated at the GGA-PBE level.

Cell: 4.226 4.226 22.715 Å, 90.00 90.00 120.00°
Element x y z (fractional)
La1 0.000 0.000 0.239
La2 0.000 0.000 0.761
La3 0.333 0.667 0.428
La4 0.333 0.667 0.906
La5 0.667 0.333 0.094
La6 0.667 0.333 0.572
Zn1 0.000 0.000 0.000
Zn2 0.333 0.667 0.667
Zn3 0.667 0.333 0.333
P1 0.000 0.000 0.500
P2 0.333 0.667 0.167
P3 0.667 0.333 0.833

Its formation enthalpy at 0 K is -0.838 eV/atom. The polymorph energy (0 for the lowest one) is 0.26 eV per formula unit. Its final energy is -59.7 eV/cell.

***

no.,DOS at the Fermi energy (states/eV/f.u.)
1,5.171
2,1.108
3,2.600
4,3.474
5,1.679
6,5.098